Entry 1:
{
  "formula": "Mn2InHg",
  "functional": "PBE",
  "state": "relaxed",
  "lattice_angstrom": [[4.859, 0.144, -0.009], [-1.151, 4.723, -0.009], [0.006, 0.008, 3.130]],
  "species": ["Hg", "In", "Mn", "Mn"],
  "fractional_positions": [[0.500, 0.000, 0.500], [0.000, 0.500, 0.500], [0.000, 0.000, 0.000], [0.500, 0.500, 0.000]],
  "magmom_total_mub_per_atom": 1.8103,
  "de_polymorph_mev_per_atom": 56,
  "formation_energy_ev_per_atom": 0.295
}

=====

Entry 2:
{
  "formula": "Mn2InHg",
  "functional": "PBE",
  "state": "relaxed",
  "lattice_angstrom": [[-1.350, -2.673, -3.656], [0.719, -4.670, 0.095], [-3.667, -2.947, 0.454]],
  "species": ["Hg", "In", "Mn", "Mn"],
  "fractional_positions": [[0.500, 0.500, 0.500], [0.750, 0.750, 0.750], [0.000, 0.000, 0.000], [0.250, 0.250, 0.250]],
  "magmom_total_mub_per_atom": 1.8774,
  "de_polymorph_mev_per_atom": 235,
  "formation_energy_ev_per_atom": 0.474
}

=====

Entry 3:
{
  "formula": "MnInHg2",
  "functional": "PBE",
  "state": "relaxed",
  "lattice_angstrom": [[-4.113, 3.788, 3.944], [-0.014, 1.106, 6.753], [2.792, 0.129, -6.246]],
  "species": ["Hg", "Hg", "In", "Mn"],
  "fractional_positions": [[0.055, 0.055, 0.000], [0.756, 0.256, 0.500], [0.443, 0.443, 0.000], [0.247, 0.747, 0.500]],
  "magmom_total_mub_per_atom": 0.9219,
  "formation_energy_ev_per_atom": 0.192
}

=====

Entry 4:
{
  "formula": "MnInHg2",
  "functional": "PBE",
  "state": "relaxed",
  "lattice_angstrom": [[-2.674, -3.056, 3.117], [1.165, -2.717, -1.664], [4.023, -0.187, 3.269]],
  "species": ["Hg", "Hg", "In", "Mn"],
  "fractional_positions": [[0.000, 0.987, 0.990], [0.000, 0.513, 0.510], [0.500, 0.250, 0.250], [0.500, 0.750, 0.750]],
  "magmom_total_mub_per_atom": 1.0154,
  "formation_energy_ev_per_atom": 0.263
}